! Ac3Zn3Pd2 PBE optimized geometry; values from VASP
! Fermi-level density of states: 10.8 states/eV per cell
! E_form: -0.543 eV/atom
&SYSTEM
  ibrav = 0, nat = 16, ntyp = 3
/
ATOMIC_SPECIES
Ac 227.00 Ac.upf
Zn 65.41 Zn.upf
Pd 106.42 Pd.upf
ATOMIC_POSITIONS crystal
Ac 0.0798 0.9202 0.6022
Ac 0.0798 0.9202 0.8978
Ac 0.3572 0.6428 0.7500
Ac 0.6428 0.3572 0.2500
Ac 0.9202 0.0798 0.1022
Ac 0.9202 0.0798 0.3978
Zn 0.3511 0.6489 0.2500
Zn 0.3627 0.6373 0.5379
Zn 0.3627 0.6373 0.9621
Zn 0.6373 0.3627 0.0379
Zn 0.6373 0.3627 0.4621
Zn 0.6489 0.3511 0.7500
Pd 0.2118 0.7882 0.1110
Pd 0.2118 0.7882 0.3890
Pd 0.7882 0.2118 0.6110
Pd 0.7882 0.2118 0.8890
CELL_PARAMETERS angstrom
2.2113 -5.5717 0.0000
2.2113 5.5717 0.0000
0.0000 0.0000 16.6764

---

! Cr2SiMo PBE optimized geometry; values from VASP
! Fermi-level density of states: 3.0 states/eV per cell
! formation energy (no corrections): -0.060 eV/atom
&SYSTEM
  ibrav = 0, nat = 4, ntyp = 3
/
ATOMIC_SPECIES
Cr 52.00 Cr.upf
Si 28.09 Si.upf
Mo 95.94 Mo.upf
ATOMIC_POSITIONS crystal
Cr 0.0000 0.0000 0.0000
Cr 0.2176 0.5000 0.7688
Si 0.4078 0.0000 0.5267
Mo 0.7702 0.5000 0.2724
CELL_PARAMETERS angstrom
2.6429 0.0000 0.0000
0.0000 4.0836 0.0000
-1.1764 0.0000 4.7733

---

! YP2WCl PBE optimized geometry; values from VASP
! Fermi-level density of states: 3.8 states/eV per cell
! formation energy (no corrections): 1.009 eV/atom
! energy above the lowest structure with this stoichiometry: 1143 meV/atom
&SYSTEM
  ibrav = 0, nat = 5, ntyp = 4
/
ATOMIC_SPECIES
Y 88.91 Y.upf
P 30.97 P.upf
W 183.84 W.upf
Cl 35.45 Cl.upf
ATOMIC_POSITIONS crystal
Y 0.0000 0.0000 0.0000
P 0.0000 0.5000 0.0000
P 0.5000 0.0000 0.0000
W 0.5000 0.5000 0.5000
Cl 0.0000 0.0000 0.5000
CELL_PARAMETERS angstrom
5.3015 0.0000 0.0000
0.0000 5.3015 0.0000
0.0000 0.0000 4.9574

---

! Na8B11C5 PBE optimized geometry; values from VASP
! Fermi-level density of states: 1.9 states/eV per cell
! energy above the lowest structure with this stoichiometry: 35 meV/atom
! E_form: 0.137 eV/atom
&SYSTEM
  ibrav = 0, nat = 24, ntyp = 3
/
ATOMIC_SPECIES
Na 22.99 Na.upf
B 10.81 B.upf
C 12.01 C.upf
ATOMIC_POSITIONS crystal
Na 0.0000 0.0000 0.0000
Na 0.0010 0.0000 0.2460
Na 0.0040 0.0000 0.7543
Na 0.4957 0.5000 0.7543
Na 0.4994 0.5000 0.2449
Na 0.5001 0.5000 0.9999
Na 0.5043 0.5000 0.4989
Na 0.9976 0.0000 0.4975
B 0.1636 0.5000 0.6192
B 0.1683 0.5000 0.8776
B 0.1786 0.5000 0.3713
B 0.3315 0.0000 0.1227
B 0.3349 0.0000 0.6191
B 0.6389 0.0000 0.3714
B 0.6635 0.0000 0.6334
B 0.6688 0.0000 0.8775
B 0.8316 0.5000 0.1227
B 0.8347 0.5000 0.6335
B 0.8455 0.5000 0.3716
C 0.1655 0.5000 0.1227
C 0.3343 0.0000 0.3710
C 0.3344 0.0000 0.8775
C 0.6657 0.0000 0.1227
C 0.8344 0.5000 0.8778
CELL_PARAMETERS angstrom
5.0398 0.0000 0.0000
0.0000 2.8663 0.0000
-0.0016 0.0000 17.1195

---

! Tb2DyGa2Ag2 PBE optimized geometry; values from VASP
! Fermi-level density of states: 4.6 states/eV per cell
! E_form: -0.373 eV/atom
&SYSTEM
  ibrav = 0, nat = 7, ntyp = 4
/
ATOMIC_SPECIES
Tb 158.93 Tb.upf
Dy 162.50 Dy.upf
Ga 69.72 Ga.upf
Ag 107.87 Ag.upf
ATOMIC_POSITIONS crystal
Tb 0.1254 0.1254 0.1254
Tb 0.8746 0.8746 0.8746
Dy 0.0000 0.0000 0.0000
Ga 0.2591 0.2591 0.2591
Ga 0.7409 0.7409 0.7409
Ag 0.3969 0.3969 0.3969
Ag 0.6031 0.6031 0.6031
CELL_PARAMETERS angstrom
2.3030 1.3296 8.9620
-2.3030 1.3296 8.9620
0.0000 -2.6592 8.9620

---

! AlCdIr2 PBE optimized geometry; values from VASP
! Fermi-level density of states: 3.1 states/eV per cell
! E_form: 0.145 eV/atom
&SYSTEM
  ibrav = 0, nat = 4, ntyp = 3
/
ATOMIC_SPECIES
Al 26.98 Al.upf
Cd 112.41 Cd.upf
Ir 192.22 Ir.upf
ATOMIC_POSITIONS crystal
Al 0.0000 0.0000 0.0000
Cd 0.5000 0.5000 0.2763
Ir 0.0000 0.0000 0.5365
Ir 0.5000 0.5000 0.7827
CELL_PARAMETERS angstrom
1.4118 -2.4611 0.0000
1.4118 2.4611 0.0000
0.0000 0.0000 9.3885

---

! Ba4GaGe3 PBE optimized geometry; values from VASP
! Fermi-level density of states: 4.5 states/eV per cell
! E_form: -0.548 eV/atom
&SYSTEM
  ibrav = 0, nat = 8, ntyp = 3
/
ATOMIC_SPECIES
Ba 137.33 Ba.upf
Ga 69.72 Ga.upf
Ge 72.64 Ge.upf
ATOMIC_POSITIONS crystal
Ba 0.0000 0.0000 0.0000
Ba 0.0000 0.5000 0.4913
Ba 0.5000 0.0000 0.7180
Ba 0.5000 0.5000 0.2216
Ga 0.0000 0.5000 0.7991
Ge 0.0000 0.0000 0.2945
Ge 0.5000 0.0000 0.4192
Ge 0.5000 0.5000 0.9225
CELL_PARAMETERS angstrom
4.3774 0.0000 0.0000
0.0000 5.0530 0.0000
0.0000 0.0000 12.4677

---

! Nd2SmTm6 PBE optimized geometry; values from VASP
! Fermi-level density of states: 14.6 states/eV per cell
! energy above the lowest structure with this stoichiometry: 0 meV/atom
! E_form: 0.074 eV/atom
&SYSTEM
  ibrav = 0, nat = 9, ntyp = 3
/
ATOMIC_SPECIES
Nd 144.24 Nd.upf
Sm 150.36 Sm.upf
Tm 168.93 Tm.upf
ATOMIC_POSITIONS crystal
Nd 0.3333 0.6667 0.2384
Nd 0.6667 0.3333 0.7616
Sm 0.0000 0.0000 0.0000
Tm 0.0222 0.3494 0.7306
Tm 0.3272 0.9778 0.7306
Tm 0.3494 0.3272 0.2694
Tm 0.6506 0.6728 0.7306
Tm 0.6728 0.0222 0.2694
Tm 0.9778 0.6506 0.2694
CELL_PARAMETERS angstrom
9.6646 0.0000 0.0000
-4.8323 8.3698 0.0000
0.0000 0.0000 3.5243

---

! Cs2RbGeBr6 PBE optimized geometry; values from VASP
! Fermi-level density of states: 18.5 states/eV per cell
! formation energy (no corrections): -1.239 eV/atom
! energy above the lowest structure with this stoichiometry: 14 meV/atom
&SYSTEM
  ibrav = 0, nat = 10, ntyp = 4
/
ATOMIC_SPECIES
Cs 132.91 Cs.upf
Rb 85.47 Rb.upf
Ge 72.64 Ge.upf
Br 79.90 Br.upf
ATOMIC_POSITIONS crystal
Cs 0.2500 0.2500 0.2500
Cs 0.7500 0.7500 0.7500
Rb 0.0000 0.0000 0.0000
Ge 0.5000 0.5000 0.5000
Br 0.2758 0.2758 0.7242
Br 0.2758 0.7242 0.2758
Br 0.2758 0.7242 0.7242
Br 0.7242 0.2758 0.2758
Br 0.7242 0.2758 0.7242
Br 0.7242 0.7242 0.2758
CELL_PARAMETERS angstrom
0.0000 5.9237 5.9237
5.9237 0.0000 5.9237
5.9237 5.9237 0.0000

---

! YMg2Zn PBE optimized geometry; values from VASP
! Fermi-level density of states: 2.3 states/eV per cell
! E_form: -0.139 eV/atom
&SYSTEM
  ibrav = 0, nat = 4, ntyp = 3
/
ATOMIC_SPECIES
Y 88.91 Y.upf
Mg 24.30 Mg.upf
Zn 65.41 Zn.upf
ATOMIC_POSITIONS crystal
Y 0.0000 0.0000 0.0000
Mg 0.0000 0.0000 0.4455
Mg 0.5000 0.5000 0.6990
Zn 0.5000 0.5000 0.2430
CELL_PARAMETERS angstrom
3.4410 0.0000 0.0000
0.0000 3.4410 0.0000
0.0000 0.0000 7.7119

---

! YH3C3O6 PBE optimized geometry; values from VASP
! Fermi-level density of states: 0.0 states/eV per cell
! energy: -0.5232 Ry per atom
&SYSTEM
  ibrav = 0, nat = 13, ntyp = 4
/
ATOMIC_SPECIES
Y 88.91 Y.upf
H 1.01 H.upf
C 12.01 C.upf
O 16.00 O.upf
ATOMIC_POSITIONS crystal
Y 0.0000 0.0000 0.0000
H 0.3655 0.3655 0.8495
H 0.3655 0.8495 0.3655
H 0.8495 0.3655 0.3655
C 0.1491 0.6105 0.6105
C 0.6105 0.1491 0.6105
C 0.6105 0.6105 0.1491
O 0.2821 0.8875 0.8875
O 0.3388 0.5915 0.5915
O 0.5915 0.3388 0.5915
O 0.5915 0.5915 0.3388
O 0.8875 0.2821 0.8875
O 0.8875 0.8875 0.2821
CELL_PARAMETERS angstrom
5.2480 3.0299 1.3324
-5.2480 3.0299 1.3324
0.0000 -6.0599 1.3324

---

! ErTmTlRu PBE optimized geometry; values from VASP
! Fermi-level density of states: 2.5 states/eV per cell
! energy above the lowest structure with this stoichiometry: 176 meV/atom
! E_form: -0.277 eV/atom
&SYSTEM
  ibrav = 0, nat = 4, ntyp = 4
/
ATOMIC_SPECIES
Er 167.26 Er.upf
Tm 168.93 Tm.upf
Tl 204.38 Tl.upf
Ru 101.07 Ru.upf
ATOMIC_POSITIONS crystal
Er 0.0000 0.0000 0.0000
Tm 0.5000 0.5000 0.5000
Tl 0.2500 0.2500 0.2500
Ru 0.7500 0.7500 0.7500
CELL_PARAMETERS angstrom
0.0000 3.5540 3.5540
3.5540 0.0000 3.5540
3.5540 3.5540 0.0000

---

! K2BTe5 PBE optimized geometry; values from VASP
! Fermi-level density of states: 4.9 states/eV per cell
! formation energy (no corrections): -0.144 eV/atom
&SYSTEM
  ibrav = 0, nat = 8, ntyp = 3
/
ATOMIC_SPECIES
K 39.10 K.upf
B 10.81 B.upf
Te 127.60 Te.upf
ATOMIC_POSITIONS crystal
K 0.0000 0.0000 0.0000
K 0.4899 0.4899 0.0000
B 0.3203 0.8203 0.5000
Te 0.4877 0.5174 0.5267
Te 0.4877 0.9610 0.9703
Te 0.4890 0.9890 0.5000
Te 0.9907 0.5174 0.0297
Te 0.9907 0.9610 0.4733
CELL_PARAMETERS angstrom
-3.2740 3.4320 6.5301
3.2740 -3.4320 6.5301
3.2740 3.4320 -6.5301

---

! Ce2Cd3Ag4 PBE optimized geometry; values from VASP
! Fermi-level density of states: 35.6 states/eV per cell
! E_form: -0.099 eV/atom
&SYSTEM
  ibrav = 0, nat = 18, ntyp = 3
/
ATOMIC_SPECIES
Ce 140.12 Ce.upf
Cd 112.41 Cd.upf
Ag 107.87 Ag.upf
ATOMIC_POSITIONS crystal
Ce 0.1032 0.8968 0.9019
Ce 0.3968 0.6032 0.4019
Ce 0.6032 0.3968 0.5981
Ce 0.8968 0.1032 0.0981
Cd 0.0000 0.0000 0.5000
Cd 0.0164 0.4836 0.7500
Cd 0.4836 0.0164 0.2500
Cd 0.5000 0.5000 0.0000
Cd 0.5164 0.9836 0.7500
Cd 0.9836 0.5164 0.2500
Ag 0.1703 0.8297 0.5209
Ag 0.1849 0.3151 0.7500
Ag 0.3151 0.1849 0.2500
Ag 0.3297 0.6703 0.0209
Ag 0.6703 0.3297 0.9791
Ag 0.6849 0.8151 0.7500
Ag 0.8151 0.6849 0.2500
Ag 0.8297 0.1703 0.4791
CELL_PARAMETERS angstrom
3.0218 -8.4646 0.0000
3.0218 8.4646 0.0000
0.0000 0.0000 8.2022

---

! As2IrPb PBE optimized geometry; values from VASP
! Fermi-level density of states: 1.8 states/eV per cell
! energy above the lowest structure with this stoichiometry: 587 meV/atom
! E_form: 0.532 eV/atom
&SYSTEM
  ibrav = 0, nat = 4, ntyp = 3
/
ATOMIC_SPECIES
As 74.92 As.upf
Ir 192.22 Ir.upf
Pb 207.20 Pb.upf
ATOMIC_POSITIONS crystal
As 0.0000 0.5000 0.0000
As 0.5000 0.0000 0.0000
Ir 0.0000 0.0000 0.5000
Pb 0.5000 0.5000 0.5000
CELL_PARAMETERS angstrom
4.1238 0.0000 0.0000
0.0000 4.1238 0.0000
0.0000 0.0000 4.6875

---

! CaNpPa2As4 PBE optimized geometry; values from VASP
! Fermi-level density of states: 14.8 states/eV per cell
! E_form: -1.001 eV/atom
&SYSTEM
  ibrav = 0, nat = 8, ntyp = 4
/
ATOMIC_SPECIES
Ca 40.08 Ca.upf
Np 237.00 Np.upf
Pa 231.04 Pa.upf
As 74.92 As.upf
ATOMIC_POSITIONS crystal
Ca 0.0000 0.0000 0.0000
Np 0.0000 0.5000 0.5000
Pa 0.5000 0.0000 0.5000
Pa 0.5000 0.5000 0.0000
As 0.2543 0.0000 0.7497
As 0.2590 0.5000 0.2550
As 0.7410 0.5000 0.7450
As 0.7457 0.0000 0.2503
CELL_PARAMETERS angstrom
7.1196 0.0000 0.0000
0.0000 4.1436 0.0000
-2.4208 0.0000 6.7733

---

! LiNp2Al12 PBE optimized geometry; values from VASP
! Fermi-level density of states: 46.4 states/eV per cell
! E_form: 0.026 eV/atom
&SYSTEM
  ibrav = 0, nat = 30, ntyp = 3
/
ATOMIC_SPECIES
Li 6.94 Li.upf
Np 237.00 Np.upf
Al 26.98 Al.upf
ATOMIC_POSITIONS crystal
Li 0.2500 0.7500 0.0000
Li 0.7500 0.2500 0.0000
Np 0.2500 0.7500 0.2457
Np 0.2500 0.7500 0.7543
Np 0.7500 0.2500 0.2457
Np 0.7500 0.2500 0.7543
Al 0.0002 0.9998 0.0865
Al 0.9998 0.0002 0.9135
Al 0.9998 0.4998 0.0865
Al 0.0002 0.5002 0.9135
Al 0.0814 0.5814 0.4292
Al 0.0814 0.9186 0.5708
Al 0.2500 0.2500 0.1830
Al 0.2500 0.2500 0.3383
Al 0.2500 0.2500 0.6617
Al 0.2500 0.2500 0.8170
Al 0.4186 0.5814 0.5708
Al 0.4186 0.9186 0.4292
Al 0.5002 0.0002 0.0865
Al 0.4998 0.9998 0.9135
Al 0.4998 0.5002 0.0865
Al 0.5002 0.4998 0.9135
Al 0.5814 0.0814 0.5708
Al 0.5814 0.4186 0.4292
Al 0.7500 0.7500 0.1830
Al 0.7500 0.7500 0.3383
Al 0.7500 0.7500 0.6617
Al 0.7500 0.7500 0.8170
Al 0.9186 0.0814 0.4292
Al 0.9186 0.4186 0.5708
CELL_PARAMETERS angstrom
6.0079 0.0000 0.0000
0.0000 6.0079 0.0000
0.0000 0.0000 15.8586

---

! SrScCu PBE optimized geometry; values from VASP
! Fermi-level density of states: 4.4 states/eV per cell
! energy above the lowest structure with this stoichiometry: 1034 meV/atom
! E_form: 1.000 eV/atom
&SYSTEM
  ibrav = 0, nat = 3, ntyp = 3
/
ATOMIC_SPECIES
Sr 87.62 Sr.upf
Sc 44.96 Sc.upf
Cu 63.55 Cu.upf
ATOMIC_POSITIONS crystal
Sr 0.0000 0.0000 0.0000
Sc 0.7500 0.7500 0.7500
Cu 0.2500 0.2500 0.2500
CELL_PARAMETERS angstrom
0.0000 3.4987 3.4987
3.4987 0.0000 3.4987
3.4987 3.4987 0.0000

---

! PaAl2SnO8 PBE optimized geometry; values from VASP
! Fermi-level density of states: 5.7 states/eV per cell
! formation energy (no corrections): -2.179 eV/atom
&SYSTEM
  ibrav = 0, nat = 12, ntyp = 4
/
ATOMIC_SPECIES
Pa 231.04 Pa.upf
Al 26.98 Al.upf
Sn 118.71 Sn.upf
O 16.00 O.upf
ATOMIC_POSITIONS crystal
Pa 0.0000 0.0000 0.0000
Al 0.3333 0.6667 0.6464
Al 0.6667 0.3333 0.3536
Sn 0.0000 0.0000 0.5000
O 0.1591 0.3182 0.7452
O 0.1591 0.8409 0.7452
O 0.3182 0.1591 0.2548
O 0.3333 0.6667 0.3655
O 0.6667 0.3333 0.6345
O 0.6818 0.8409 0.7452
O 0.8409 0.1591 0.2548
O 0.8409 0.6818 0.2548
CELL_PARAMETERS angstrom
5.6577 0.0000 0.0000
-2.8288 4.8997 0.0000
0.0000 0.0000 6.1145

---

! RhWBr2 PBE optimized geometry; values from VASP
! Fermi-level density of states: 3.4 states/eV per cell
! formation energy (no corrections): 0.989 eV/atom
! energy above the lowest structure with this stoichiometry: 917 meV/atom
&SYSTEM
  ibrav = 0, nat = 4, ntyp = 3
/
ATOMIC_SPECIES
Rh 102.91 Rh.upf
W 183.84 W.upf
Br 79.90 Br.upf
ATOMIC_POSITIONS crystal
Rh 0.0000 0.0000 0.0000
W 0.5000 0.5000 0.0000
Br 0.0000 0.5000 0.0000
Br 0.5000 0.0000 0.0000
CELL_PARAMETERS angstrom
2.9970 -4.3978 0.0000
2.9970 4.3978 0.0000
-1.3079 0.0000 2.8142